Compound: FeTeO3F
Source: Alexandria via LeMat-Bulk
Functional: PBE+U
Structure: optimized geometry

Cell: 5.148 5.183 12.905 Å, 90.00 105.70 90.00°
Positions (direct):
Fe 0.105 0.243 0.071
Fe 0.105 0.257 0.571
Fe 0.895 0.743 0.429
Fe 0.895 0.757 0.929
Te 0.323 0.194 0.830
Te 0.323 0.306 0.330
Te 0.677 0.694 0.670
Te 0.677 0.806 0.170
O 0.068 0.080 0.702
O 0.068 0.420 0.202
O 0.132 0.063 0.931
O 0.132 0.437 0.431
O 0.449 0.105 0.162
O 0.449 0.395 0.662
O 0.551 0.605 0.338
O 0.551 0.895 0.838
O 0.868 0.563 0.569
O 0.868 0.937 0.069
O 0.932 0.580 0.798
O 0.932 0.920 0.298
F 0.241 0.564 0.014
F 0.241 0.936 0.514
F 0.759 0.064 0.486
F 0.759 0.436 0.986

Summary:
space-group type: P2_1/c
VASP energy: -0.212 Ha/atom

---

Compound: TiFeO2F
Source: Alexandria via LeMat-Bulk
Functional: PBE+U
Structure: optimized geometry

Cell: 3.889 3.889 3.925 Å, 90.00 90.00 90.00°
Positions (direct):
Ti 0.000 0.000 0.000
Fe 0.500 0.500 0.500
O 0.000 0.500 0.000
O 0.500 0.000 0.000
F 0.000 0.000 0.500

Summary:
space-group type: P4/mmm
VASP energy: -0.258 Ha/atom

---

Compound: TiFeOF2
Source: Alexandria via LeMat-Bulk
Functional: PBE+U
Structure: optimized geometry

Cell: 4.054 4.054 3.836 Å, 90.00 90.00 90.00°
Positions (direct):
Ti 0.000 0.000 0.000
Fe 0.500 0.500 0.500
O 0.000 0.000 0.500
F 0.000 0.500 0.000
F 0.500 0.000 0.000

Summary:
polymorph energy (0 for the lowest one): 0 meV/atom
space-group type: P4/mmm

---

Compound: TiFeO2F
Source: Alexandria via LeMat-Bulk
Functional: PBE+U
Structure: optimized geometry

Cell: 3.868 3.868 3.674 Å, 90.00 90.00 90.00°
Positions (direct):
Ti 0.000 0.000 0.000
Fe 0.500 0.500 0.500
O 0.000 0.500 0.500
O 0.500 0.000 0.500
F 0.500 0.500 0.000

Summary:
space-group type: P4/mmm
VASP energy: -0.225 Ha/atom

---

Compound: TiFeOF2
Source: Alexandria via LeMat-Bulk
Functional: PBE+U
Structure: optimized geometry

Cell: 3.793 3.793 4.052 Å, 90.00 90.00 90.00°
Positions (direct):
Ti 0.000 0.000 0.000
Fe 0.500 0.500 0.500
O 0.500 0.500 0.000
F 0.000 0.500 0.500
F 0.500 0.000 0.500

Summary:
polymorph energy (0 for the lowest one): 1050 meV/atom
space-group type: P4/mmm

---

Compound: TlFeOF2
Source: Alexandria via LeMat-Bulk
Functional: PBE+U
Structure: optimized geometry

Cell: 4.573 4.573 4.203 Å, 90.00 90.00 90.00°
Positions (direct):
Tl 0.000 0.000 0.000
Fe 0.500 0.500 0.500
O 0.000 0.000 0.500
F 0.000 0.500 0.000
F 0.500 0.000 0.000

Summary:
polymorph energy (0 for the lowest one): 975 meV/atom
space-group type: P4/mmm

---

Compound: TlFeOF2
Source: Alexandria via LeMat-Bulk
Functional: PBE+U
Structure: optimized geometry

Cell: 4.317 4.317 3.827 Å, 90.00 90.00 90.00°
Positions (direct):
Tl 0.000 0.000 0.000
Fe 0.500 0.500 0.500
O 0.500 0.500 0.000
F 0.000 0.500 0.500
F 0.500 0.000 0.500

Summary:
polymorph energy (0 for the lowest one): 0 meV/atom
space-group type: P4/mmm

---

Compound: TlFeO2F
Source: Alexandria via LeMat-Bulk
Functional: PBE+U
Structure: optimized geometry

Cell: 4.281 4.281 4.374 Å, 90.00 90.00 90.00°
Positions (direct):
Tl 0.000 0.000 0.000
Fe 0.500 0.500 0.500
O 0.000 0.500 0.000
O 0.500 0.000 0.000
F 0.000 0.000 0.500

Summary:
space-group type: P4/mmm
VASP energy: -0.160 Ha/atom

---

Compound: TlFeO2F
Source: Alexandria via LeMat-Bulk
Functional: PBE+U
Structure: optimized geometry

Cell: 3.989 3.989 4.073 Å, 90.00 90.00 90.00°
Positions (direct):
Tl 0.000 0.000 0.000
Fe 0.500 0.500 0.500
O 0.000 0.500 0.500
O 0.500 0.000 0.500
F 0.500 0.500 0.000

Summary:
space-group type: P4/mmm
VASP energy: -0.190 Ha/atom

---

Compound: UFeO4F
Source: Alexandria via LeMat-Bulk
Functional: PBE+U
Structure: optimized geometry

Cell: 5.811 5.369 7.012 Å, 90.00 105.72 90.00°
Positions (direct):
U 0.052 0.250 0.255
U 0.948 0.750 0.745
Fe 0.360 0.750 0.550
Fe 0.640 0.250 0.450
O 0.010 0.750 0.469
O 0.294 0.750 0.813
O 0.337 0.017 0.342
O 0.337 0.483 0.342
O 0.663 0.517 0.658
O 0.663 0.983 0.658
O 0.706 0.250 0.187
O 0.990 0.250 0.531
F 0.062 0.250 0.949
F 0.938 0.750 0.051

Summary:
space-group type: P2_1/m
VASP energy: -0.284 Ha/atom

---

Compound: VFeO2F
Source: Alexandria via LeMat-Bulk
Functional: PBE+U
Structure: optimized geometry

Cell: 3.836 3.836 4.001 Å, 90.00 90.00 90.00°
Positions (direct):
V 0.000 0.000 0.000
Fe 0.500 0.500 0.500
O 0.000 0.500 0.000
O 0.500 0.000 0.000
F 0.000 0.000 0.500

Summary:
space-group type: P4/mmm
VASP energy: -0.221 Ha/atom

---

Compound: VFeO2F
Source: Alexandria via LeMat-Bulk
Functional: PBE+U
Structure: optimized geometry

Cell: 3.813 3.813 3.719 Å, 90.00 90.00 90.00°
Positions (direct):
V 0.000 0.000 0.000
Fe 0.500 0.500 0.500
O 0.000 0.500 0.500
O 0.500 0.000 0.500
F 0.500 0.500 0.000

Summary:
space-group type: P4/mmm
VASP energy: -0.210 Ha/atom